# 1
A plane-wave DFT calculation with SCAN was carried out for a PBEsol-optimized structure of YAs2Os.

Values from the calculation:
The excess energy over the best structure of this formula in the dataset is 207 meV per atom.

Structure (CIF):
```
data_YAs2Os
_chemical_formula_sum 'Y1 As2 Os1'
_cell_length_a 4.6173
_cell_length_b 4.6173
_cell_length_c 3.2494
_cell_angle_alpha 90.00
_cell_angle_beta 90.00
_cell_angle_gamma 90.00
_symmetry_space_group_name_H-M 'P 4/m m m'
_symmetry_Int_Tables_number 123
_symmetry_space_group_name_Hall '-P 4 2'
loop_
_atom_site_label
_atom_site_type_symbol
_atom_site_fract_x
_atom_site_fract_y
_atom_site_fract_z
Y1 Y 0.0000 0.0000 0.0000
As1 As 0.0000 0.5000 0.5000
Os1 Os 0.5000 0.5000 0.0000
```



# 2
A plane-wave DFT calculation with SCAN was carried out for a PBEsol-optimized structure of BiRuWSe2.

Values from the calculation:
As for the uncorrected formation energy: 1.06 eV/atom.

Structure (CIF):
```
data_BiRuWSe2
_chemical_formula_sum 'Bi1 Ru1 W1 Se2'
_cell_length_a 4.8009
_cell_length_b 4.8009
_cell_length_c 4.8008
_cell_angle_alpha 90.00
_cell_angle_beta 90.00
_cell_angle_gamma 90.00
_symmetry_space_group_name_H-M 'P 4/m m m'
_symmetry_Int_Tables_number 123
_symmetry_space_group_name_Hall '-P 4 2'
loop_
_atom_site_label
_atom_site_type_symbol
_atom_site_fract_x
_atom_site_fract_y
_atom_site_fract_z
Bi1 Bi 0.0000 0.0000 0.0000
Ru1 Ru 0.5000 0.5000 0.5000
W1 W 0.5000 0.5000 0.0000
Se1 Se 0.0000 0.5000 0.5000
```



Number 1: Fermi-level density of states 2.8 states/eV/cell. Number 2: Fermi-level density of states 4.5 states/eV/cell.